Entry A
This record from Alexandria describes a relaxed MgCd2Cl crystal. The functional is PBE.

## Properties
**Density of states at the Fermi level**: 0.32 states/eV/atom

a = 3.2028 Å, b = 5.9702 Å, c = 10.3897 Å
α = 90.00°, β = 90.00°, γ = 90.00°
Space group Imm2 (No. 44)
Inequivalent atoms, fractional coordinates:
Mg: 0.0000 0.0000 0.0000
Cd: 0.0000 0.0000 0.5096
Cd: 0.0000 0.5000 0.7434
Cl: 0.0000 0.5000 0.3243

Entry B
This record from Alexandria describes a relaxed MgCd2Cl crystal. The functional is PBE.

## Properties
**Density of states at the Fermi level**: 0.42 states/eV/atom

a = 4.1170 Å, b = 4.1170 Å, c = 11.5331 Å
α = 90.00°, β = 90.00°, γ = 90.00°
Space group I4/mmm (No. 139)
Inequivalent atoms, fractional coordinates:
Mg: 0.0000 0.0000 0.0000
Cd: 0.0000 0.5000 0.2500
Cl: 0.0000 0.0000 0.5000

The relative energies come out as entry A 0.000; entry B 0.110, with values in eV/atom.

Entry A
This record from Alexandria describes a relaxed MgCd2Cl crystal. The functional is PBE.

## Properties
**Density of states at the Fermi level**: 0.49 states/eV/atom

a = 4.0773 Å, b = 4.0773 Å, c = 6.1341 Å
α = 90.00°, β = 90.00°, γ = 90.00°
Space group P4/mmm (No. 123)
Inequivalent atoms, fractional coordinates:
Mg: 0.0000 0.0000 0.0000
Cd: 0.0000 0.5000 0.5000
Cl: 0.5000 0.5000 0.0000

Entry B
This record from Alexandria describes a relaxed MgCd2Cl crystal. The functional is PBE.

## Properties
**Density of states at the Fermi level**: 0.30 states/eV/atom

a = 3.3008 Å, b = 3.3008 Å, c = 8.8032 Å
α = 90.00°, β = 90.00°, γ = 90.00°
Space group P4mm (No. 99)
Inequivalent atoms, fractional coordinates:
Mg: 0.0000 0.0000 0.0000
Cd: 0.0000 0.0000 0.4642
Cd: 0.5000 0.5000 0.2337
Cl: 0.5000 0.5000 0.8397

The relative energies come out as entry A 0.186; entry B 0.000, with values in eV/atom.

Entry A
This record from Alexandria describes a relaxed MgCd2Cl6 crystal. The functional is PBE.

## Properties
**Density of states at the Fermi level**: 0.00 states/eV/atom

a = 6.2207 Å, b = 6.2207 Å, c = 11.6745 Å
α = 90.00°, β = 90.00°, γ = 90.00°
Space group P4_2/mnm (No. 136)
Inequivalent atoms, fractional coordinates:
Mg: 0.0000 0.0000 0.0000
Cd: 0.0000 0.0000 0.3336
Cl: 0.1911 0.1911 0.1594
Cl: 0.2034 0.2034 0.5000

Entry B
This record from Alexandria describes a relaxed MgCd2Cl6 crystal. The functional is PBE.

## Properties
**Density of states at the Fermi level**: 0.00 states/eV/atom

a = 16.8731 Å, b = 3.8131 Å, c = 7.8310 Å
α = 90.00°, β = 104.46°, γ = 90.00°
Space group C2/m (No. 12)
Inequivalent atoms, fractional coordinates:
Mg: 0.0000 0.0000 0.0000
Cd: 0.1640 0.5000 0.3325
Cl: 0.0011 0.5000 0.2194
Cl: 0.1546 0.0000 0.0904
Cl: 0.1715 0.0000 0.5722

The relative energies come out as entry A 0.033; entry B 0.000, with values in eV/atom.

Entry A
This record from Alexandria describes a relaxed MgCdCl4 crystal. The functional is PBE.

## Properties
**Density of states at the Fermi level**: 0.00 states/eV/atom

a = 7.3887 Å, b = 7.8116 Å, c = 10.7651 Å
α = 90.00°, β = 90.00°, γ = 90.00°
Space group Imma (No. 74)
Inequivalent atoms, fractional coordinates:
Mg: 0.2500 0.2500 0.2500
Cd: 0.0000 0.0000 0.0000
Cl: 0.0000 0.0276 0.2477
Cl: 0.2452 0.2500 0.0135

Entry B
This record from Alexandria describes a relaxed MgCdCl4 crystal. The functional is PBE.

## Properties
**Density of states at the Fermi level**: 0.63 states/eV/atom

a = 8.4507 Å, b = 8.4507 Å, c = 8.4507 Å
α = 90.00°, β = 90.00°, γ = 90.00°
Space group F-43m (No. 216)
Inequivalent atoms, fractional coordinates:
Mg: 0.0000 0.0000 0.0000
Cd: 0.2500 0.2500 0.7500
Cl: 0.1251 0.1251 0.3749

The relative energies come out as entry A 0.000; entry B 1.610, with values in eV/atom.

Entry A
This record from Alexandria describes a relaxed MgCdS2Cl crystal. The functional is PBE.

## Properties
**Density of states at the Fermi level**: 0.96 states/eV/atom

a = 4.8935 Å, b = 4.8935 Å, c = 4.7526 Å
α = 90.00°, β = 90.00°, γ = 90.00°
Space group P4/mmm (No. 123)
Inequivalent atoms, fractional coordinates:
Mg: 0.0000 0.0000 0.0000
Cd: 0.5000 0.5000 0.5000
S: 0.0000 0.5000 0.0000
Cl: 0.0000 0.0000 0.5000

Entry B
This record from Alexandria describes a relaxed MgCdS2Cl crystal. The functional is PBE.

## Properties
**Density of states at the Fermi level**: 0.56 states/eV/atom

a = 4.9859 Å, b = 4.9859 Å, c = 5.1028 Å
α = 90.00°, β = 90.00°, γ = 90.00°
Space group P4/mmm (No. 123)
Inequivalent atoms, fractional coordinates:
Mg: 0.0000 0.0000 0.0000
Cd: 0.5000 0.5000 0.5000
S: 0.0000 0.5000 0.5000
Cl: 0.5000 0.5000 0.0000

The relative energies come out as entry A 0.000; entry B 0.251, with values in eV/atom.

Entry A
This record from Alexandria describes a relaxed MnCdCl2 crystal. The functional is PBE.

## Properties
**Density of states at the Fermi level**: 0.31 states/eV/atom

a = 3.5843 Å, b = 6.1074 Å, c = 10.0444 Å
α = 90.00°, β = 90.00°, γ = 90.00°
Space group Cmmm (No. 65)
Inequivalent atoms, fractional coordinates:
Mn: 0.0000 0.0000 0.0000
Cd: 0.0000 0.0000 0.5000
Cl: 0.0000 0.5000 0.1635

Entry B
This record from Alexandria describes a relaxed MnCdCl2 crystal. The functional is PBE.

## Properties
**Density of states at the Fermi level**: 0.29 states/eV/atom

a = 3.3764 Å, b = 6.3917 Å, c = 9.4740 Å
α = 90.00°, β = 90.00°, γ = 90.00°
Space group Imm2 (No. 44)
Inequivalent atoms, fractional coordinates:
Mn: 0.0000 0.0000 0.0000
Cd: 0.0000 0.5000 0.2564
Cl: 0.0000 0.0000 0.5355
Cl: 0.0000 0.5000 0.6826

The relative energies come out as entry A 0.000; entry B 0.102, with values in eV/atom.